Entry 1:
Hf3PRu | the Alexandria database | GGA-PBEsol | optimized geometry; volume = 114.49 Å³ per cell; total magnetization = 0.00 μB/f.u.; formation energy = 2.1 eV/f.u.; total DFT energy (no corrections) = -45.414 eV for the cell shown
1.0
4.856 0.000 0.000
0.000 4.856 0.000
0.000 0.000 4.856
Hf P Ru
3 1 1
Direct
0.000 0.000 0.500
0.000 0.500 0.000
0.500 0.000 0.000
0.500 0.500 0.500
0.000 0.000 0.000

Entry 2:
Zr2MoBr | the Alexandria database | GGA-PBEsol | optimized geometry; volume = 159.14 Å³ per cell; energy relative to the elements, uncorrected = -0.21 eV per atom; total magnetization = 0.00 μB/f.u.; offset from the most stable computed form = 0 meV/atom; total DFT energy (no corrections) = -65.319 eV for the cell shown
1.0
3.467 0.000 0.000
0.000 5.330 0.000
0.000 0.000 8.612
Zr Mo Br
4 2 2
Direct
0.000 0.000 0.232
0.000 0.000 0.768
0.500 0.500 0.232
0.500 0.500 0.768
0.000 0.500 0.000
0.500 0.000 0.000
0.000 0.500 0.500
0.500 0.000 0.500

Entry 3:
Mg2AlFeHg | the Alexandria database | GGA-PBEsol | optimized geometry; volume = 124.67 Å³ per cell; total magnetization = 3.16 μB/f.u.; formation energy = 4.4 eV/f.u.; total DFT energy (no corrections) = -12.649 eV for the cell shown
1.0
5.081 0.000 0.000
0.000 5.081 0.000
0.000 0.000 4.829
Mg Al Fe Hg
2 1 1 1
Direct
0.000 0.500 0.000
0.500 0.000 0.000
0.000 0.000 0.500
0.500 0.500 0.500
0.000 0.000 0.000

Entry 4:
Zn3Mo2O9 | the Alexandria database | GGA-PBEsol | optimized geometry; volume = 411.17 Å³ per cell; energy relative to the elements, uncorrected = -1.75 eV per atom; total magnetization = 0.00 μB/f.u.; total DFT energy (no corrections) = -200.088 eV for the cell shown
1.0
7.776 0.000 0.000
0.000 7.092 0.000
-3.859 0.000 7.455
Zn Mo O
6 4 18
Direct
0.000 0.000 0.000
0.000 0.500 0.000
0.109 0.250 0.766
0.353 0.250 0.208
0.647 0.750 0.792
0.891 0.750 0.234
0.164 0.750 0.718
0.452 0.750 0.299
0.548 0.250 0.701
0.836 0.250 0.282
0.076 0.548 0.782
0.076 0.952 0.782
0.086 0.750 0.486
0.099 0.250 0.995
0.306 0.548 0.201
0.306 0.952 0.201
0.348 0.250 0.745
0.418 0.750 0.830
0.463 0.250 0.468
0.537 0.750 0.532
0.582 0.250 0.170
0.652 0.750 0.255
0.694 0.048 0.799
0.694 0.452 0.799
0.901 0.750 0.005
0.914 0.250 0.514
0.924 0.048 0.218
0.924 0.452 0.218

Entry 5:
LiMg2Ru | the Alexandria database | GGA-PBEsol | optimized geometry; volume = 204.42 Å³ per cell; total magnetization = 0.00 μB/f.u.; formation energy = 0.5 eV/f.u.; total DFT energy (no corrections) = -45.162 eV for the cell shown
1.0
2.900 0.000 0.000
-1.450 2.511 0.000
0.000 0.000 28.068
Li Mg Ru
3 6 3
Direct
0.000 0.000 0.000
0.333 0.667 0.667
0.667 0.333 0.333
0.000 0.000 0.242
0.000 0.000 0.758
0.333 0.667 0.425
0.333 0.667 0.909
0.667 0.333 0.091
0.667 0.333 0.575
0.000 0.000 0.500
0.333 0.667 0.167
0.667 0.333 0.833

Entry 6:
BeCrNi2 | the Alexandria database | GGA-PBEsol | optimized geometry; volume = 81.62 Å³ per cell; total magnetization = 2.33 μB/f.u.; formation energy = 0.0 eV/f.u.; total DFT energy (no corrections) = -53.128 eV for the cell shown
1.0
3.406 0.000 0.000
0.000 3.406 0.000
0.000 0.000 7.035
Be Cr Ni
2 2 4
Direct
0.000 0.000 0.000
0.500 0.500 0.500
0.000 0.500 0.250
0.500 0.000 0.750
0.000 0.000 0.500
0.000 0.500 0.750
0.500 0.000 0.250
0.500 0.500 0.000

Entry 7:
AgMoP2 | the Alexandria database | GGA-PBEsol | optimized geometry; volume = 186.56 Å³ per cell; total magnetization = 0.00 μB/f.u.; formation energy = -0.5 eV/f.u.; offset from the most stable computed form = 0 meV/atom; total DFT energy (no corrections) = -81.361 eV for the cell shown
1.0
3.049 0.000 0.000
-1.524 2.640 0.000
0.000 0.000 23.174
Ag Mo P
3 3 6
Direct
0.000 0.000 0.000
0.333 0.667 0.667
0.667 0.333 0.333
0.000 0.000 0.500
0.333 0.667 0.167
0.667 0.333 0.833
0.000 0.000 0.240
0.000 0.000 0.760
0.333 0.667 0.427
0.333 0.667 0.906
0.667 0.333 0.094
0.667 0.333 0.573

Entry 8:
Si2SbRh | the Alexandria database | GGA-PBEsol | optimized geometry; volume = 265.97 Å³ per cell; energy relative to the elements, uncorrected = 0.30 eV per atom; total magnetization = 0.00 μB/f.u.; total DFT energy (no corrections) = -91.964 eV for the cell shown
1.0
6.431 0.000 0.000
0.000 6.431 0.000
0.000 0.000 6.431
Si Sb Rh
8 4 4
Direct
0.250 0.250 0.250
0.250 0.250 0.750
0.250 0.750 0.250
0.250 0.750 0.750
0.750 0.250 0.250
0.750 0.250 0.750
0.750 0.750 0.250
0.750 0.750 0.750
0.000 0.000 0.000
0.000 0.500 0.500
0.500 0.000 0.500
0.500 0.500 0.000
0.000 0.000 0.500
0.000 0.500 0.000
0.500 0.000 0.000
0.500 0.500 0.500

Entry 9:
LiYGa3 | the Alexandria database | GGA-PBEsol | optimized geometry; volume = 160.22 Å³ per cell; total magnetization = 0.00 μB/f.u.; formation energy = 2.9 eV/f.u.; offset from the most stable computed form = 768 meV/atom; total DFT energy (no corrections) = -15.915 eV for the cell shown
1.0
5.431 0.000 0.000
0.000 5.431 0.000
0.000 0.000 5.431
Li Y Ga
1 1 3
Direct
0.000 0.000 0.000
0.500 0.500 0.500
0.000 0.500 0.500
0.500 0.000 0.500
0.500 0.500 0.000

Entry 10:
TaHg2Pb | the Alexandria database | GGA-PBEsol | optimized geometry; volume = 83.58 Å³ per cell; total magnetization = 0.00 μB/f.u.; formation energy = 1.9 eV/f.u.; total DFT energy (no corrections) = -15.754 eV for the cell shown
1.0
4.244 0.000 0.000
0.000 4.244 0.000
0.000 0.000 4.641
Ta Hg Pb
1 2 1
Direct
0.000 0.000 0.000
0.000 0.500 0.500
0.500 0.000 0.500
0.500 0.500 0.000

Entry 11:
Sr2LiZn | the Alexandria database | GGA-PBEsol | optimized geometry; volume = 263.28 Å³ per cell; total magnetization = 0.00 μB/f.u.; formation energy = -0.2 eV/f.u.; total DFT energy (no corrections) = -14.938 eV for the cell shown
1.0
4.661 0.000 0.000
0.000 4.618 0.000
0.000 0.000 12.233
Sr Li Zn
4 2 2
Direct
0.000 0.000 0.000
0.000 0.500 0.500
0.500 0.000 0.288
0.500 0.500 0.788
0.000 0.000 0.699
0.000 0.500 0.199
0.500 0.000 0.580
0.500 0.500 0.080

Entry 12:
Ca2MgCr | the Alexandria database | GGA-PBEsol | optimized geometry; volume = 223.45 Å³ per cell; total magnetization = 4.45 μB/f.u.; formation energy = 1.6 eV/f.u.; total DFT energy (no corrections) = -29.212 eV for the cell shown
1.0
11.962 0.000 0.000
0.000 3.850 0.000
-2.469 0.000 4.853
Ca Mg Cr
4 2 2
Direct
0.000 0.000 0.000
0.215 0.000 0.714
0.500 0.500 0.000
0.715 0.500 0.714
0.444 0.000 0.444
0.944 0.500 0.444
0.246 0.500 0.245
0.746 0.000 0.245

volume of number 3 (Mg2AlFeHg)?
124.67 Å³ per cell

What is the formula in the seventh record?
AgMoP2